[1]
SmDy2 | PBE-GGA | relaxed

The total magnetization comes out at 0.000 μB per atom. As for the crystal system: tetragonal. The calculation puts the energy above the most stable polymorph in this dataset at 0.002 eV/atom. As for the formation energy: 0.02 eV per atom.

The structure belongs to space group I4/mmm (No. 139); the cell edges are 3.568, 3.568 and 15.164 Å and the angles 90.00°, 90.00° and 90.00°. The inequivalent atoms are Sm at (0.000, 0.000, 0.000) and Dy at (0.000, 0.000, 0.332).


[2]
Sm3Dy7 | PBE-GGA | relaxed

The total magnetization comes out at 0.000 μB per atom. As for the crystal system: monoclinic. The calculation puts the energy above the most stable polymorph in this dataset at 0.000 eV/atom. As for the formation energy: 0.02 eV per atom.

The structure belongs to space group C2/m (No. 12); the cell edges are 18.176, 5.037 and 7.152 Å and the angles 90.00°, 101.30° and 90.00°. The inequivalent atoms are Sm at (0.000, 0.000, 0.000), Sm at (0.199, 0.000, 0.600), Dy at (0.000, 0.000, 0.500), Dy at (0.100, 0.500, 0.300), Dy at (0.100, 0.500, 0.800) and Dy at (0.200, 0.000, 0.100).


[3]
Sm3Dy | PBE-GGA | relaxed

The total magnetization comes out at 0.000 μB per atom. As for the crystal system: cubic. The calculation puts the energy above the most stable polymorph in this dataset at 0.004 eV/atom. As for the formation energy: 0.02 eV per atom.

The structure belongs to space group Pm-3m (No. 221); the cell edges are 5.098, 5.098 and 5.098 Å and the angles 90.00°, 90.00° and 90.00°. The inequivalent atoms are Sm at (0.000, 0.000, 0.500) and Dy at (0.500, 0.500, 0.500).


[4]
Sm7Dy5 | PBE-GGA | relaxed

The total magnetization comes out at 0.000 μB per atom. As for the crystal system: monoclinic. The calculation puts the energy above the most stable polymorph in this dataset at 0.000 eV/atom. As for the formation energy: 0.01 eV per atom.

The structure belongs to space group C2/m (No. 12); the cell edges are 18.721, 3.607 and 13.210 Å and the angles 90.00°, 118.15° and 90.00°. The inequivalent atoms are Sm at (0.000, 0.000, 0.000), Sm at (0.028, 0.500, 0.250), Sm at (0.139, 0.000, 0.751), Sm at (0.167, 0.000, 0.502), Dy at (0.000, 0.500, 0.500), Dy at (0.167, 0.500, 0.001) and Dy at (0.194, 0.000, 0.249).


[5]
Sm4Dy | PBE-GGA | relaxed

The total magnetization comes out at 0.000 μB per atom. As for the crystal system: tetragonal. The calculation puts the energy above the most stable polymorph in this dataset at 0.004 eV/atom. As for the formation energy: 0.02 eV per atom.

The structure belongs to space group I4/mmm (No. 139); the cell edges are 3.610, 3.610 and 25.556 Å and the angles 90.00°, 90.00° and 90.00°. The inequivalent atoms are Sm at (0.000, 0.000, 0.099), Sm at (0.000, 0.000, 0.301) and Dy at (0.000, 0.000, 0.500).


[6]
Sm13Dy2 | PBE-GGA | relaxed

The total magnetization comes out at 0.000 μB per atom. As for the crystal system: triclinic. As for the formation energy: 0.06 eV per atom.

The structure belongs to space group P-1 (No. 2); the cell edges are 6.716, 9.069 and 9.071 Å and the angles 66.27°, 82.16° and 82.13°. The inequivalent atoms are Sm at (0.000, 0.000, 0.000), Sm at (0.102, 0.435, 0.765), Sm at (0.196, 0.197, 0.205), Sm at (0.298, 0.630, 0.972), Sm at (0.304, 0.962, 0.637), Sm at (0.398, 0.398, 0.403), Sm at (0.498, 0.168, 0.834) and Dy at (0.098, 0.769, 0.431).


[7]
Sm3Dy7 | PBE-GGA | relaxed

The total magnetization comes out at 0.000 μB per atom. As for the crystal system: hexagonal. The calculation puts the energy above the most stable polymorph in this dataset at 0.169 eV/atom. As for the formation energy: 0.18 eV per atom.

The structure belongs to space group P6_3mc (No. 186); the cell edges are 10.7811, 10.7811 and 6.4725 Å and the angles 90.00°, 90.00° and 120.00°. The inequivalent atoms are Sm at (0.2044, 0.4087, 0.0000), Dy at (0.0588, 0.5294, 0.6536), Dy at (0.1205, 0.2409, 0.4813) and Dy at (0.3333, 0.6667, 0.3486).


[8]
Sm2Dy | PBE-GGA | relaxed

The total magnetization comes out at 0.000 μB per atom. As for the crystal system: tetragonal. The calculation puts the energy above the most stable polymorph in this dataset at 0.121 eV/atom. As for the formation energy: 0.14 eV per atom.

The structure belongs to space group I4_1/amd (No. 141, origin choice 2); the cell edges are 3.497, 3.497 and 33.035 Å and the angles 90.00°, 90.00° and 90.00°. The inequivalent atoms are Sm at (0.000, 0.250, 0.297) and Dy at (0.000, 0.250, 0.875).


[9]
SmDy4 | PBE-GGA | relaxed

The total magnetization comes out at 0.000 μB per atom. As for the crystal system: cubic. The calculation puts the energy above the most stable polymorph in this dataset at 0.670 eV/atom. As for the formation energy: 0.69 eV per atom.

The structure belongs to space group Pm-3m (No. 221); the cell edges are 5.631, 5.631 and 5.631 Å and the angles 90.00°, 90.00° and 90.00°. The inequivalent atoms are Sm at (0.000, 0.000, 0.000), Dy at (0.000, 0.000, 0.500) and Dy at (0.500, 0.500, 0.500).


[10]
Sm2Dy7 | PBE-GGA | relaxed

The total magnetization comes out at 0.019 μB per atom. As for the crystal system: hexagonal. The calculation puts the energy above the most stable polymorph in this dataset at 0.024 eV/atom. As for the formation energy: 0.04 eV per atom.

The structure belongs to space group P-62m (No. 189); the cell edges are 9.6886, 9.6886 and 3.5502 Å and the angles 90.00°, 90.00° and 120.00°. The inequivalent atoms are Sm at (0.3333, 0.6667, 0.0000), Dy at (0.0000, 0.0000, 0.5000), Dy at (0.0000, 0.3557, 0.5000) and Dy at (0.0000, 0.6959, 0.0000).


[11]
Sm3Dy | PBE-GGA | relaxed

The total magnetization comes out at 0.000 μB per atom. As for the crystal system: orthorhombic. The calculation puts the energy above the most stable polymorph in this dataset at 0.013 eV/atom. As for the formation energy: 0.03 eV per atom.

The structure belongs to space group Pmm2 (No. 25); the cell edges are 3.663, 5.790 and 6.336 Å and the angles 90.00°, 90.00° and 90.00°. The inequivalent atoms are Sm at (0.000, 0.000, 0.000), Sm at (0.000, 0.500, 0.334), Sm at (0.500, 0.500, 0.834) and Dy at (0.500, 0.000, 0.501).


[12]
Sm5Dy6 | PBE-GGA | relaxed

The total magnetization comes out at 0.000 μB per atom. As for the crystal system: orthorhombic. The calculation puts the energy above the most stable polymorph in this dataset at 0.000 eV/atom. As for the formation energy: 0.11 eV per atom.

The structure belongs to space group Immm (No. 71); the cell edges are 5.580, 8.154 and 16.016 Å and the angles 90.00°, 90.00° and 90.00°. The inequivalent atoms are Sm at (0.000, 0.000, 0.000), Sm at (0.000, 0.000, 0.300), Sm at (0.000, 0.500, 0.338), Dy at (0.000, 0.206, 0.500) and Dy at (0.000, 0.294, 0.137).


[13]
Sm3Dy | PBE-GGA | relaxed

The total magnetization comes out at 0.000 μB per atom. As for the crystal system: orthorhombic. The calculation puts the energy above the most stable polymorph in this dataset at 0.011 eV/atom. As for the formation energy: 0.02 eV per atom.

The structure belongs to space group Imm2 (No. 44); the cell edges are 3.656, 11.605 and 6.320 Å and the angles 90.00°, 90.00° and 90.00°. The inequivalent atoms are Sm at (0.000, 0.000, 0.000), Sm at (0.000, 0.249, 0.332) and Dy at (0.000, 0.500, 0.001).


[14]
Sm5Dy4 | PBE-GGA | relaxed

The total magnetization comes out at 0.000 μB per atom. As for the crystal system: monoclinic. As for the formation energy: 0.02 eV per atom.

The structure belongs to space group C2/m (No. 12); the cell edges are 11.901, 10.770 and 5.067 Å and the angles 90.00°, 115.11° and 90.00°. The inequivalent atoms are Sm at (0.000, 0.000, 0.000), Sm at (0.000, 0.332, 0.000), Sm at (0.168, 0.500, 0.668) and Dy at (0.167, 0.167, 0.667).


[15]
Sm3Dy13 | PBE-GGA | relaxed

The total magnetization comes out at 0.000 μB per atom. As for the crystal system: orthorhombic. As for the formation energy: 0.01 eV per atom.

The structure belongs to space group Amm2 (No. 38); the cell edges are 7.271, 11.320 and 12.568 Å and the angles 90.00°, 90.00° and 90.00°. The inequivalent atoms are Sm at (0.000, 0.000, 0.000), Sm at (0.251, 0.000, 0.748), Dy at (0.000, 0.000, 0.498), Dy at (0.000, 0.249, 0.166), Dy at (0.250, 0.000, 0.249), Dy at (0.251, 0.248, 0.416), Dy at (0.500, 0.000, 0.000), Dy at (0.500, 0.000, 0.498) and Dy at (0.500, 0.248, 0.166).


[16]
Sm3Dy4 | PBE-GGA | relaxed

The total magnetization comes out at 0.000 μB per atom. As for the crystal system: tetragonal. As for the formation energy: 0.02 eV per atom.

The structure belongs to space group I4/mmm (No. 139); the cell edges are 3.576, 3.576 and 35.477 Å and the angles 90.00°, 90.00° and 90.00°. The inequivalent atoms are Sm at (0.000, 0.000, 0.000), Sm at (0.000, 0.000, 0.287), Dy at (0.000, 0.000, 0.142) and Dy at (0.000, 0.000, 0.428).


[17]
Sm3Dy4 | PBE-GGA | relaxed

The total magnetization comes out at 0.000 μB per atom. As for the crystal system: monoclinic. As for the formation energy: 0.02 eV per atom.

The structure belongs to space group C2/m (No. 12); the cell edges are 11.314, 5.059 and 8.000 Å and the angles 90.00°, 98.15° and 90.00°. The inequivalent atoms are Sm at (0.000, 0.000, 0.000), Sm at (0.214, 0.500, 0.144), Dy at (0.072, 0.500, 0.712) and Dy at (0.143, 0.000, 0.429).


[18]
Sm5Dy7 | PBE-GGA | relaxed

The total magnetization comes out at 0.000 μB per atom. As for the crystal system: monoclinic. The calculation puts the energy above the most stable polymorph in this dataset at 0.184 eV/atom. As for the formation energy: 0.19 eV per atom.

The structure belongs to space group C2/m (No. 12); the cell edges are 9.605, 5.753 and 14.747 Å and the angles 90.00°, 103.77° and 90.00°. The inequivalent atoms are Sm at (0.000, 0.000, 0.000), Sm at (0.121, 0.500, 0.800), Sm at (0.139, 0.000, 0.437), Dy at (0.000, 0.500, 0.500), Dy at (0.045, 0.000, 0.214), Dy at (0.183, 0.500, 0.082) and Dy at (0.241, 0.000, 0.672).


[19]
Sm2Dy | PBE-GGA | relaxed

The total magnetization comes out at 0.000 μB per atom. As for the crystal system: tetragonal. The calculation puts the energy above the most stable polymorph in this dataset at 0.000 eV/atom. As for the formation energy: 0.02 eV per atom.

The structure belongs to space group I4/mmm (No. 139); the cell edges are 3.599, 3.599 and 15.279 Å and the angles 90.00°, 90.00° and 90.00°. The inequivalent atoms are Sm at (0.000, 0.000, 0.166) and Dy at (0.000, 0.000, 0.500).


[20]
Sm4Dy3 | PBE-GGA | relaxed

The total magnetization comes out at 0.000 μB per atom. As for the crystal system: monoclinic. The calculation puts the energy above the most stable polymorph in this dataset at 0.104 eV/atom. As for the formation energy: 0.12 eV per atom.

The structure belongs to space group C2/m (No. 12); the cell edges are 9.496, 5.953 and 9.161 Å and the angles 90.00°, 117.27° and 90.00°. The inequivalent atoms are Sm at (0.140, 0.000, 0.422), Sm at (0.214, 0.500, 0.141), Dy at (0.000, 0.000, 0.000) and Dy at (0.069, 0.500, 0.712).


[21]
SmDy4 | PBE-GGA | relaxed

The total magnetization comes out at 0.000 μB per atom. As for the crystal system: tetragonal. The calculation puts the energy above the most stable polymorph in this dataset at 0.410 eV/atom. As for the formation energy: 0.43 eV per atom.

The structure belongs to space group I4_1/amd (No. 141, origin choice 2); the cell edges are 9.262, 9.262 and 7.923 Å and the angles 90.00°, 90.00° and 90.00°. The inequivalent atoms are Sm at (0.000, 0.250, 0.375) and Dy at (0.000, 0.064, 0.730).


[22]
Sm8Dy3 | PBE-GGA | relaxed

The total magnetization comes out at 0.000 μB per atom. As for the crystal system: trigonal. The calculation puts the energy above the most stable polymorph in this dataset at 0.126 eV/atom. As for the formation energy: 0.49 eV per atom.

The structure belongs to space group R-3 (No. 148, hexagonal axes); the cell edges are 9.7506, 9.7506 and 13.6642 Å and the angles 90.00°, 90.00° and 120.00°. The inequivalent atoms are Sm at (0.0000, 0.0000, 0.1154), Sm at (0.0370, 0.8073, 0.6137) and Dy at (0.0000, 0.5000, 0.5000).


[23]
Sm6Dy5 | PBE-GGA | relaxed

The total magnetization comes out at 0.000 μB per atom. As for the crystal system: monoclinic. As for the formation energy: 0.13 eV per atom.

The structure belongs to space group C2/m (No. 12); the cell edges are 10.238, 13.362 and 6.069 Å and the angles 90.00°, 117.54° and 90.00°. The inequivalent atoms are Sm at (0.183, 0.000, 0.083), Sm at (0.185, 0.137, 0.602), Dy at (0.000, 0.233, 0.000), Dy at (0.000, 0.369, 0.500) and Dy at (0.000, 0.500, 0.000).


[24]
Sm6Dy | PBE-GGA | relaxed

The total magnetization comes out at 0.000 μB per atom. As for the crystal system: cubic. The calculation puts the energy above the most stable polymorph in this dataset at 1.072 eV/atom. As for the formation energy: 1.32 eV per atom.

The structure belongs to space group Im-3m (No. 229); the cell edges are 8.084, 8.084 and 8.084 Å and the angles 90.00°, 90.00° and 90.00°. The inequivalent atoms are Sm at (0.000, 0.250, 0.500) and Dy at (0.000, 0.000, 0.000).